Er2TmPt3, relaxed, DFT PBE; symmetry = Cmmm (65); DFT formation energy = -1273 meV per atom; energy above the most stable polymorph in this dataset = 0.0 kJ/mol of atoms; total DFT energy (no corrections) = -6.559 eV/atom
1.0
2.454 -7.362 0.000
2.454 7.362 0.000
0.000 0.000 3.434
Er Tm Pt
2 1 3
Cartesian
2.454 4.909 0.000
2.454 -4.909 0.000
2.454 0.000 0.000
0.000 0.000 1.717
2.454 2.437 1.717
2.454 -2.437 1.717